[1]
Compound: Gd2HgIr
Source: the Alexandria database
Functional: PBE-GGA
Structure: optimized geometry

The calculated formation energy is -0.60 eV/atom. The density of states at the Fermi level is 2.416 states/eV/f.u. Its crystal system is trigonal.

It has space group R-3m (No. 166, hexagonal axes), with a = 4.0614 Å, b = 4.0614 Å, c = 22.9161 Å, α = 90.00°, β = 90.00° and γ = 120.00°. The distinct sites, in fractional coordinates, are Gd at (0.0000, 0.0000, 0.2334), Hg at (0.0000, 0.0000, 0.0000) and Ir at (0.0000, 0.0000, 0.5000).

---

[2]
Compound: Gd2HgIr
Source: the Alexandria database
Functional: PBE-GGA
Structure: optimized geometry

The calculated formation energy is -0.66 eV/atom. The density of states at the Fermi level is 1.678 states/eV/f.u. Its crystal system is tetragonal.

It has space group P4/mmm (No. 123), with a = 3.540 Å, b = 3.540 Å, c = 7.567 Å, α = 90.00°, β = 90.00° and γ = 90.00°. The distinct sites, in fractional coordinates, are Gd at (0.000, 0.000, 0.218), Hg at (0.500, 0.500, 0.500) and Ir at (0.500, 0.500, 0.000).

---

[3]
Compound: GdHgIr
Source: the Alexandria database
Functional: PBE-GGA
Structure: optimized geometry

The calculated formation energy is -0.34 eV/atom. The density of states at the Fermi level is 1.294 states/eV/f.u. Its crystal system is tetragonal.

It has space group I4mm (No. 107), with a = 3.666 Å, b = 3.666 Å, c = 9.562 Å, α = 90.00°, β = 90.00° and γ = 90.00°. The distinct sites, in fractional coordinates, are Gd at (0.000, 0.000, 0.000), Hg at (0.000, 0.000, 0.688) and Ir at (0.000, 0.000, 0.357).

---

[4]
Compound: LaGdHgIr
Source: the Alexandria database
Functional: PBE-GGA
Structure: optimized geometry

The calculated formation energy is -0.54 eV/atom. The density of states at the Fermi level is 2.831 states/eV/f.u. Its crystal system is cubic.

It has space group F-43m (No. 216), with a = 7.347 Å, b = 7.347 Å, c = 7.347 Å, α = 90.00°, β = 90.00° and γ = 90.00°. The distinct sites, in fractional coordinates, are La at (0.000, 0.000, 0.000), Gd at (0.000, 0.000, 0.500), Hg at (0.250, 0.250, 0.750) and Ir at (0.250, 0.250, 0.250).

---

[5]
Compound: GdLuHgIr
Source: the Alexandria database
Functional: PBE-GGA
Structure: optimized geometry

The calculated formation energy is -0.62 eV/atom. The density of states at the Fermi level is 2.024 states/eV/f.u. Its crystal system is cubic.

It has space group F-43m (No. 216), with a = 7.087 Å, b = 7.087 Å, c = 7.087 Å, α = 90.00°, β = 90.00° and γ = 90.00°. The distinct sites, in fractional coordinates, are Gd at (0.000, 0.000, 0.000), Lu at (0.000, 0.000, 0.500), Hg at (0.250, 0.250, 0.250) and Ir at (0.250, 0.250, 0.750).

---

[6]
Compound: GdMgHgIr
Source: the Alexandria database
Functional: PBE-GGA
Structure: optimized geometry

The calculated formation energy is -0.39 eV/atom. The density of states at the Fermi level is 2.376 states/eV/f.u. Its crystal system is cubic.

It has space group F-43m (No. 216), with a = 6.923 Å, b = 6.923 Å, c = 6.923 Å, α = 90.00°, β = 90.00° and γ = 90.00°. The distinct sites, in fractional coordinates, are Gd at (0.000, 0.000, 0.000), Mg at (0.000, 0.000, 0.500), Hg at (0.250, 0.250, 0.750) and Ir at (0.250, 0.250, 0.250).

---

[7]
Compound: PmGdHgIr
Source: the Alexandria database
Functional: PBE-GGA
Structure: optimized geometry

The calculated formation energy is -0.55 eV/atom. The density of states at the Fermi level is 2.667 states/eV/f.u. Its crystal system is cubic.

It has space group F-43m (No. 216), with a = 7.254 Å, b = 7.254 Å, c = 7.254 Å, α = 90.00°, β = 90.00° and γ = 90.00°. The distinct sites, in fractional coordinates, are Pm at (0.000, 0.000, 0.000), Gd at (0.000, 0.000, 0.500), Hg at (0.250, 0.250, 0.250) and Ir at (0.250, 0.250, 0.750).

---

[8]
Compound: PrGdHgIr
Source: the Alexandria database
Functional: PBE-GGA
Structure: optimized geometry

The calculated formation energy is -0.52 eV/atom. The density of states at the Fermi level is 2.894 states/eV/f.u. Its crystal system is cubic.

It has space group F-43m (No. 216), with a = 7.310 Å, b = 7.310 Å, c = 7.310 Å, α = 90.00°, β = 90.00° and γ = 90.00°. The distinct sites, in fractional coordinates, are Pr at (0.000, 0.000, 0.000), Gd at (0.000, 0.000, 0.500), Hg at (0.250, 0.250, 0.250) and Ir at (0.250, 0.250, 0.750).

---

[9]
Compound: GdPuHgIr
Source: the Alexandria database
Functional: PBE-GGA
Structure: optimized geometry

The calculated formation energy is -0.36 eV/atom. The density of states at the Fermi level is 10.199 states/eV/f.u. Its crystal system is cubic.

It has space group F-43m (No. 216), with a = 7.188 Å, b = 7.188 Å, c = 7.188 Å, α = 90.00°, β = 90.00° and γ = 90.00°. The distinct sites, in fractional coordinates, are Gd at (0.000, 0.000, 0.000), Pu at (0.000, 0.000, 0.500), Hg at (0.250, 0.250, 0.750) and Ir at (0.250, 0.250, 0.250).

---

[10]
Compound: GdScHgIr
Source: the Alexandria database
Functional: PBE-GGA
Structure: optimized geometry

The calculated formation energy is -0.57 eV/atom. The density of states at the Fermi level is 2.025 states/eV/f.u. Its crystal system is cubic.

It has space group F-43m (No. 216), with a = 6.980 Å, b = 6.980 Å, c = 6.980 Å, α = 90.00°, β = 90.00° and γ = 90.00°. The distinct sites, in fractional coordinates, are Gd at (0.000, 0.000, 0.000), Sc at (0.000, 0.000, 0.500), Hg at (0.250, 0.250, 0.250) and Ir at (0.250, 0.250, 0.750).

---

[11]
Compound: SrGdHgIr
Source: the Alexandria database
Functional: PBE-GGA
Structure: optimized geometry

The calculated formation energy is -0.34 eV/atom. The density of states at the Fermi level is 3.609 states/eV/f.u. Its crystal system is cubic.

It has space group F-43m (No. 216), with a = 7.347 Å, b = 7.347 Å, c = 7.347 Å, α = 90.00°, β = 90.00° and γ = 90.00°. The distinct sites, in fractional coordinates, are Sr at (0.000, 0.000, 0.000), Gd at (0.000, 0.000, 0.500), Hg at (0.250, 0.250, 0.250) and Ir at (0.250, 0.250, 0.750).

---

[12]
Compound: TbGdHgIr
Source: the Alexandria database
Functional: PBE-GGA
Structure: optimized geometry

The calculated formation energy is -0.60 eV/atom. The density of states at the Fermi level is 2.274 states/eV/f.u. Its crystal system is cubic.

It has space group F-43m (No. 216), with a = 7.173 Å, b = 7.173 Å, c = 7.173 Å, α = 90.00°, β = 90.00° and γ = 90.00°. The distinct sites, in fractional coordinates, are Tb at (0.000, 0.000, 0.000), Gd at (0.000, 0.000, 0.500), Hg at (0.250, 0.250, 0.250) and Ir at (0.250, 0.250, 0.750).

---

[13]
Compound: GdThHgIr
Source: the Alexandria database
Functional: PBE-GGA
Structure: optimized geometry

The calculated formation energy is -0.48 eV/atom. The density of states at the Fermi level is 3.919 states/eV/f.u. Its crystal system is cubic.

It has space group F-43m (No. 216), with a = 7.310 Å, b = 7.310 Å, c = 7.310 Å, α = 90.00°, β = 90.00° and γ = 90.00°. The distinct sites, in fractional coordinates, are Gd at (0.000, 0.000, 0.000), Th at (0.000, 0.000, 0.500), Hg at (0.250, 0.250, 0.750) and Ir at (0.250, 0.250, 0.250).

---

[14]
Compound: GdYHgIr
Source: the Alexandria database
Functional: PBE-GGA
Structure: optimized geometry

The calculated formation energy is -0.60 eV/atom. The density of states at the Fermi level is 2.091 states/eV/f.u. Its crystal system is cubic.

It has space group F-43m (No. 216), with a = 7.166 Å, b = 7.166 Å, c = 7.166 Å, α = 90.00°, β = 90.00° and γ = 90.00°. The distinct sites, in fractional coordinates, are Gd at (0.000, 0.000, 0.000), Y at (0.000, 0.000, 0.500), Hg at (0.250, 0.250, 0.750) and Ir at (0.250, 0.250, 0.250).

---

[15]
Compound: K2GdHg
Source: the Alexandria database
Functional: PBE-GGA
Structure: optimized geometry

The calculated formation energy is 0.23 eV/atom. The density of states at the Fermi level is 7.498 states/eV/f.u. Its crystal system is trigonal.

It has space group R-3m (No. 166, hexagonal axes), with a = 3.7868 Å, b = 3.7868 Å, c = 39.7678 Å, α = 90.00°, β = 90.00° and γ = 120.00°. The distinct sites, in fractional coordinates, are K at (0.0000, 0.0000, 0.0957), Gd at (0.0000, 0.0000, 0.0000) and Hg at (0.0000, 0.0000, 0.5000).

---

[16]
Compound: LaGdHg
Source: the Alexandria database
Functional: PBE-GGA
Structure: optimized geometry

The calculated formation energy is -0.22 eV/atom. The density of states at the Fermi level is 3.536 states/eV/f.u. Its crystal system is trigonal.

It has space group P3m1 (No. 156), with a = 5.2718 Å, b = 5.2718 Å, c = 3.8467 Å, α = 90.00°, β = 90.00° and γ = 120.00°. The distinct sites, in fractional coordinates, are La at (0.0000, 0.0000, 0.0000), Gd at (0.3333, 0.6667, 0.5370) and Hg at (0.6667, 0.3333, 0.4319).

---

[17]
Compound: LaGdHg
Source: the Alexandria database
Functional: PBE-GGA
Structure: optimized geometry

The calculated formation energy is -0.33 eV/atom. The density of states at the Fermi level is 2.781 states/eV/f.u. Its crystal system is tetragonal.

It has space group I4mm (No. 107), with a = 3.785 Å, b = 3.785 Å, c = 12.783 Å, α = 90.00°, β = 90.00° and γ = 90.00°. The distinct sites, in fractional coordinates, are La at (0.000, 0.000, 0.000), Gd at (0.000, 0.000, 0.696) and Hg at (0.000, 0.000, 0.334).

---

[18]
Compound: La2GdHg
Source: the Alexandria database
Functional: PBE-GGA
Structure: optimized geometry

The calculated formation energy is -0.23 eV/atom. The density of states at the Fermi level is 4.935 states/eV/f.u. Its crystal system is tetragonal.

It has space group P4/mmm (No. 123), with a = 3.829 Å, b = 3.829 Å, c = 8.897 Å, α = 90.00°, β = 90.00° and γ = 90.00°. The distinct sites, in fractional coordinates, are La at (0.000, 0.000, 0.224), Gd at (0.500, 0.500, 0.500) and Hg at (0.500, 0.500, 0.000).

---

[19]
Compound: LaGdHg2
Source: the Alexandria database
Functional: PBE-GGA
Structure: optimized geometry

The calculated formation energy is -0.50 eV/atom. The density of states at the Fermi level is 5.420 states/eV/f.u. Its crystal system is cubic.

It has space group Fm-3m (No. 225), with a = 7.674 Å, b = 7.674 Å, c = 7.674 Å, α = 90.00°, β = 90.00° and γ = 90.00°. The distinct sites, in fractional coordinates, are La at (0.000, 0.000, 0.000), Gd at (0.000, 0.000, 0.500) and Hg at (0.250, 0.250, 0.250).

---

[20]
Compound: La2GdHg
Source: the Alexandria database
Functional: PBE-GGA
Structure: optimized geometry

The calculated formation energy is -0.12 eV/atom. The density of states at the Fermi level is 6.771 states/eV/f.u. Its crystal system is cubic.

It has space group Fm-3m (No. 225), with a = 7.937 Å, b = 7.937 Å, c = 7.937 Å, α = 90.00°, β = 90.00° and γ = 90.00°. The distinct sites, in fractional coordinates, are La at (0.250, 0.250, 0.250), Gd at (0.000, 0.000, 0.000) and Hg at (0.000, 0.000, 0.500).